SrFeHgTe3 after structural relaxation. Source: the Open Quantum Materials Database, functional GGA-PBE.

Calculated values
space group	Cmcm (63)
offset from the most stable computed form	0	meV/atom
raw total energy	-3.699	eV per atom

CIF file:
```
data_SrFeHgTe3
_space_group_name_H-M_alt 'P 1'
_space_group_IT_number 1
_cell_length_a 7.1011
_cell_length_b 7.1011
_cell_length_c 12.4598
_cell_angle_alpha 90.00
_cell_angle_beta 90.00
_cell_angle_gamma 143.82
loop_
_space_group_symop_operation_xyz
'x,y,z'
loop_
_atom_site_label
_atom_site_type_symbol
_atom_site_fract_x
_atom_site_fract_y
_atom_site_fract_z
Te1 Te 0.3515 0.6485 0.9290
Te2 Te 0.0553 0.9447 0.7500
Te3 Te 0.3515 0.6485 0.5709
Te4 Te 0.9447 0.0553 0.2500
Te5 Te 0.6485 0.3515 0.0710
Te6 Te 0.6485 0.3515 0.4290
Fe1 Fe 0.5543 0.4457 0.2500
Fe2 Fe 0.4457 0.5543 0.7500
Hg1 Hg 0.0000 0.0000 0.5000
Hg2 Hg 0.0000 0.0000 0.0000
Sr1 Sr 0.2537 0.7463 0.2500
Sr2 Sr 0.7463 0.2537 0.7500
```